Material: BeNb2Fe
Method: DFT, PBE
State: optimized geometry

Cell and atoms, written as CIF:
```
data_BeNb2Fe
_chemical_formula_sum 'Be1 Nb2 Fe1'
_symmetry_space_group_name_H-M 'P 4/m m m'
_symmetry_Int_Tables_number 123
_symmetry_space_group_name_Hall '-P 4 2'
_cell_length_a 4.058
_cell_length_b 4.058
_cell_length_c 3.429
_cell_angle_alpha 90.00
_cell_angle_beta 90.00
_cell_angle_gamma 90.00
loop_
_atom_site_label
_atom_site_type_symbol
_atom_site_fract_x
_atom_site_fract_y
_atom_site_fract_z
Be1 Be 0.000 0.000 0.000
Nb1 Nb 0.000 0.500 0.500
Fe1 Fe 0.500 0.500 0.000
```

## Properties
- Calculated total energy: -8.073 eV/atom
- E_form: 0.009 eV/atom
- Density of states at the Fermi level: 3.59 states/eV per cell